Record 1
# CsAg3C

CsAg3C at its PBEsol-relaxed geometry (SCAN, Alexandria).

```
5
Lattice="6.057 0.000 0.000 0.000 6.057 0.000 0.000 0.000 6.057" Properties=species:S:1:pos:R:3 pbc="T T T"
Cs 0.000 0.000 0.000
Ag 0.000 0.000 3.029
Ag 0.000 3.029 0.000
Ag 3.029 0.000 0.000
C 3.029 3.029 3.029
```

Values from the calculation:
VASP energy ... -25.693 eV/atom
Theoretical density ... 3.501 g cm⁻³
D(E_F) ... 3.80 states/eV/cell
Size of the total moment ... 0.3 Bohr magnetons per cell
ΔE_f ... 2709.2 meV/atom

---

Record 2
# Ta4AlAs

Ta4AlAs at its PBEsol-relaxed geometry (SCAN, Alexandria).

```
6
Lattice="0.000 3.820 3.820 3.820 0.000 3.820 3.820 3.820 0.000" Properties=species:S:1:pos:R:3 pbc="T T T"
Ta 0.947 0.947 0.947
Ta 2.873 2.873 0.947
Ta 2.873 0.947 2.873
Ta 0.947 2.873 2.873
Al 5.731 5.731 5.731
As 3.820 3.820 3.820
```

Values from the calculation:
VASP energy ... -48.616 eV/atom
Theoretical density ... 12.295 g cm⁻³
D(E_F) ... 4.00 states/eV/cell
Size of the total moment ... 0.0 Bohr magnetons per cell
ΔE_f ... 430.2 meV/atom

---

Question: The lowest ΔE_f belongs to which entry?
Answer: Ta4AlAs

---

Question: Among the records above, which one has the highest D(E_F)?
Answer: Ta4AlAs